La2BrN: optimized geometry, PBE.

Calculated values
E_form (uncorrected)   -1.451 eV per atom
DOS(E_F)   1.44 states/eV/cell

Unit cell a=3.7896 b=3.7896 c=7.9071 alpha=76.14 beta=76.14 gamma=60.00
Element x y z (fractional)
La  0.0602  0.0602  0.8193
La  0.2735  0.2735  0.1795
Br  0.4994  0.4994  0.5017
N  0.6668  0.6668  0.9995